# ZrFe2Se (GGA-PBEsol, optimized geometry)
# Crystal system: trigonal
# ΔE_f (raw), eV/atom: -0.053
# M_tot, μB/cell: 0.0
data_ZrFe2Se
_cell_length_a 3.8447
_cell_length_b 3.8447
_cell_length_c 13.4958
_cell_angle_alpha 90.00
_cell_angle_beta 90.00
_cell_angle_gamma 120.00
_symmetry_space_group_name_H-M 'R -3 m'
_symmetry_Int_Tables_number 166
_symmetry_space_group_name_Hall '-R 3 2"'
loop_
_atom_site_label
_atom_site_fract_x
_atom_site_fract_y
_atom_site_fract_z
_atom_site_occupancy
Zr1 0.0000 0.0000 0.0000 1
Fe1 0.0000 0.0000 0.2097 1
Se1 0.0000 0.0000 0.5000 1

=====

# BTeF2 (GGA-PBEsol, optimized geometry)
# Crystal system: cubic
# Polymorph energy (0 for the lowest one), eV/atom: 0.513
# ΔE_f (raw), eV/atom: 0.302
# M_tot, μB/cell: 0.0
data_BTeF2
_cell_length_a 5.935
_cell_length_b 5.935
_cell_length_c 5.935
_cell_angle_alpha 90.00
_cell_angle_beta 90.00
_cell_angle_gamma 90.00
_symmetry_space_group_name_H-M 'F m -3 m'
_symmetry_Int_Tables_number 225
_symmetry_space_group_name_Hall '-F 4 2 3'
loop_
_atom_site_label
_atom_site_fract_x
_atom_site_fract_y
_atom_site_fract_z
_atom_site_occupancy
B1 0.000 0.000 0.000 1
Te1 0.000 0.000 0.500 1
F1 0.250 0.250 0.250 1

=====

# Ba2GeMoAu (GGA-PBEsol, optimized geometry)
# Crystal system: tetragonal
# Energy of formation from the pure elements, eV/atom: 0.7654
# M_tot, μB/cell: 4.9
data_Ba2GeMoAu
_cell_length_a 6.298
_cell_length_b 6.298
_cell_length_c 4.666
_cell_angle_alpha 90.00
_cell_angle_beta 90.00
_cell_angle_gamma 90.00
_symmetry_space_group_name_H-M 'P 4/m m m'
_symmetry_Int_Tables_number 123
_symmetry_space_group_name_Hall '-P 4 2'
loop_
_atom_site_label
_atom_site_fract_x
_atom_site_fract_y
_atom_site_fract_z
_atom_site_occupancy
Ba1 0.000 0.500 0.000 1
Ge1 0.000 0.000 0.000 1
Mo1 0.500 0.500 0.500 1
Au1 0.000 0.000 0.500 1

=====

# Li2AlVO4 (GGA-PBEsol, optimized geometry)
# Crystal system: orthorhombic
# Polymorph energy (0 for the lowest one), eV/atom: 0.121
# ΔE_f (raw), eV/atom: -2.376
# M_tot, μB/cell: 4.0
data_Li2AlVO4
_cell_length_a 4.019
_cell_length_b 6.526
_cell_length_c 5.897
_cell_angle_alpha 90.00
_cell_angle_beta 90.00
_cell_angle_gamma 90.00
_symmetry_space_group_name_H-M 'P m m n'
_symmetry_Int_Tables_number 59
loop_
_symmetry_equiv_pos_as_xyz
'x,y,z'
'-x,-y,-z'
'-x+1/2,-y+1/2,z'
'x+1/2,y+1/2,-z'
'x+1/2,-y,-z'
'-x+1/2,y,z'
'-x,y+1/2,-z'
'x,-y+1/2,z'
loop_
_atom_site_label
_atom_site_fract_x
_atom_site_fract_y
_atom_site_fract_z
_atom_site_occupancy
Li1 0.250 0.002 0.158 1
Al1 0.250 0.250 0.669 1
V1 0.250 0.750 0.675 1
O1 0.250 0.012 0.820 1
O2 0.250 0.250 0.363 1
O3 0.250 0.750 0.354 1

=====

# Ba2TeRu (GGA-PBEsol, optimized geometry)
# Crystal system: trigonal
# ΔE_f (raw), eV/atom: -0.377
# M_tot, μB/cell: 0.0
data_Ba2TeRu
_cell_length_a 4.5673
_cell_length_b 4.5673
_cell_length_c 25.8889
_cell_angle_alpha 90.00
_cell_angle_beta 90.00
_cell_angle_gamma 120.00
_symmetry_space_group_name_H-M 'R 3 m'
_symmetry_Int_Tables_number 160
_symmetry_space_group_name_Hall 'R 3 -2"'
loop_
_atom_site_label
_atom_site_fract_x
_atom_site_fract_y
_atom_site_fract_z
_atom_site_occupancy
Ba1 0.0000 0.0000 0.0000 1
Ba2 0.0000 0.0000 0.1635 1
Te1 0.0000 0.0000 0.4148 1
Ru1 0.0000 0.0000 0.7488 1

=====

# NbTe2MoP (GGA-PBEsol, optimized geometry)
# Crystal system: tetragonal
# ΔE_f (raw), eV/atom: 1.188
# M_tot, μB/cell: 2.5
data_NbTe2MoP
_cell_length_a 5.102
_cell_length_b 5.102
_cell_length_c 4.532
_cell_angle_alpha 90.00
_cell_angle_beta 90.00
_cell_angle_gamma 90.00
_symmetry_space_group_name_H-M 'P 4/m m m'
_symmetry_Int_Tables_number 123
_symmetry_space_group_name_Hall '-P 4 2'
loop_
_atom_site_label
_atom_site_fract_x
_atom_site_fract_y
_atom_site_fract_z
_atom_site_occupancy
Nb1 0.000 0.000 0.000 1
Te1 0.000 0.500 0.500 1
Mo1 0.500 0.500 0.000 1
P1 0.000 0.000 0.500 1